{
  "formula": "HfW4F2",
  "functional": "PBE+U",
  "state": "optimized geometry",
  "e_tot_ev_per_fu": -31.8,
  "m_tot_mub_per_atom": 1.70,
  "crystal_system": "tetragonal",
  "lattice_angstrom": [[-2.687, 2.687, 6.134], [2.687, -2.687, 6.134], [2.687, 2.687, -6.134]],
  "species": ["Hf", "W", "W", "W", "W", "F", "F"],
  "fractional_positions": [[0.000, 0.000, 0.000], [0.000, 0.500, 0.500], [0.230, 0.230, 0.000], [0.500, 0.000, 0.500], [0.770, 0.770, 0.000], [0.398, 0.398, 0.000], [0.602, 0.602, 0.000]]
}